Entry 1:
The following is a DFT calculation (GGA-PBE) of crystalline Zr2Cr4H at its relaxed geometry.

theoretical density: 6.65 g cm⁻³
total magnetization: 0.9 μB per formula unit
final energy: -57.0 eV per cell
space-group type: I4/mmm

a b c (Å): 7.870 7.870 7.870
angles (deg): 153.37 153.37 38.02
Positions (direct):
Zr 0.176 0.176 0.000
Zr 0.824 0.824 0.000
Cr 0.000 0.500 0.500
Cr 0.382 0.382 0.000
Cr 0.500 0.000 0.500
Cr 0.618 0.618 0.000
H 0.500 0.500 0.000



Entry 2:
The following is a DFT calculation (GGA-PBE) of crystalline Zr3Cr5H12 at its relaxed geometry.

theoretical density: 5.58 g cm⁻³
total magnetization: 6.0 μB per formula unit
final energy: -466.5 eV per cell
space-group type: Ia-3d

a b c (Å): 9.449 9.449 9.449
angles (deg): 109.47 109.47 109.47
Positions (direct):
Zr 0.125 0.250 0.375
Zr 0.125 0.375 0.750
Zr 0.250 0.375 0.125
Zr 0.250 0.875 0.625
Zr 0.375 0.125 0.250
Zr 0.375 0.750 0.125
Zr 0.625 0.250 0.875
Zr 0.625 0.875 0.750
Zr 0.750 0.125 0.375
Zr 0.750 0.625 0.875
Zr 0.875 0.625 0.250
Zr 0.875 0.750 0.625
Cr 0.000 0.000 0.000
Cr 0.000 0.000 0.500
Cr 0.000 0.500 0.000
Cr 0.000 0.500 0.500
Cr 0.125 0.750 0.875
Cr 0.125 0.875 0.250
Cr 0.250 0.125 0.875
Cr 0.250 0.625 0.375
Cr 0.375 0.250 0.625
Cr 0.375 0.625 0.750
Cr 0.500 0.000 0.000
Cr 0.500 0.000 0.500
Cr 0.500 0.500 0.000
Cr 0.500 0.500 0.500
Cr 0.625 0.375 0.250
Cr 0.625 0.750 0.375
Cr 0.750 0.375 0.625
Cr 0.750 0.875 0.125
Cr 0.875 0.125 0.750
Cr 0.875 0.250 0.125
H 0.039 0.206 0.122
H 0.039 0.332 0.917
H 0.083 0.622 0.416
H 0.083 0.961 0.668
H 0.084 0.706 0.668
H 0.084 0.878 0.417
H 0.122 0.039 0.206
H 0.122 0.583 0.916
H 0.168 0.206 0.584
H 0.168 0.461 0.583
H 0.206 0.122 0.039
H 0.206 0.584 0.168
H 0.294 0.332 0.916
H 0.294 0.461 0.378
H 0.332 0.916 0.294
H 0.332 0.917 0.039
H 0.378 0.294 0.461
H 0.378 0.584 0.917
H 0.416 0.083 0.622
H 0.416 0.832 0.794
H 0.417 0.084 0.878
H 0.417 0.832 0.539
H 0.461 0.378 0.294
H 0.461 0.583 0.168
H 0.539 0.417 0.832
H 0.539 0.622 0.706
H 0.583 0.168 0.461
H 0.583 0.916 0.122
H 0.584 0.168 0.206
H 0.584 0.917 0.378
H 0.622 0.416 0.083
H 0.622 0.706 0.539
H 0.668 0.083 0.961
H 0.668 0.084 0.706
H 0.706 0.539 0.622
H 0.706 0.668 0.084
H 0.794 0.416 0.832
H 0.794 0.878 0.961
H 0.832 0.539 0.417
H 0.832 0.794 0.416
H 0.878 0.417 0.084
H 0.878 0.961 0.794
H 0.916 0.122 0.583
H 0.916 0.294 0.332
H 0.917 0.039 0.332
H 0.917 0.378 0.584
H 0.961 0.668 0.083
H 0.961 0.794 0.878



Entry 3:
The following is a DFT calculation (GGA-PBE) of crystalline Zr2CrH8 at its relaxed geometry.

theoretical density: 5.05 g cm⁻³
total magnetization: 1.1 μB per formula unit
final energy: -56.2 eV per cell
space-group type: C2/m

a b c (Å): 6.586 6.586 4.113
angles (deg): 108.11 108.11 28.14
Positions (direct):
Zr 0.145 0.145 0.144
Zr 0.855 0.855 0.856
Cr 0.500 0.500 0.500
H 0.000 0.000 0.275
H 0.000 0.000 0.725
H 0.240 0.240 0.741
H 0.380 0.380 0.599
H 0.381 0.381 0.162
H 0.619 0.619 0.838
H 0.620 0.620 0.401
H 0.760 0.760 0.259



Entry 4:
The following is a DFT calculation (GGA-PBE) of crystalline ZrCrH4 at its relaxed geometry.

theoretical density: 4.79 g cm⁻³
total magnetization: 0.2 μB per formula unit
final energy: -64.9 eV per cell
space-group type: C2/c

a b c (Å): 4.813 4.813 5.322
angles (deg): 103.42 103.42 113.89
Positions (direct):
Zr 0.130 0.870 0.750
Zr 0.870 0.130 0.250
Cr 0.477 0.523 0.750
Cr 0.523 0.477 0.250
H 0.087 0.241 0.663
H 0.241 0.087 0.163
H 0.308 0.596 0.459
H 0.404 0.692 0.041
H 0.596 0.308 0.959
H 0.692 0.404 0.541
H 0.759 0.913 0.837
H 0.913 0.759 0.337



Entry 5:
The following is a DFT calculation (GGA-PBE) of crystalline HfCr at its relaxed geometry.

theoretical density: 11.22 g cm⁻³
total magnetization: 0.0 μB per formula unit
final energy: -76.5 eV per cell
formation energy from the elements: 0.2227 eV/atom
space-group type: I4/mmm

a b c (Å): 6.898 6.898 6.898
angles (deg): 92.73 92.73 154.79
Positions (direct):
Hf 0.156 0.156 0.312
Hf 0.156 0.844 0.000
Hf 0.844 0.156 0.000
Hf 0.844 0.844 0.688
Cr 0.143 0.500 0.643
Cr 0.500 0.143 0.643
Cr 0.500 0.857 0.357
Cr 0.857 0.500 0.357



Entry 6:
The following is a DFT calculation (GGA-PBE) of crystalline Hf2Cr at its relaxed geometry.

theoretical density: 11.90 g cm⁻³
total magnetization: 0.0 μB per formula unit
final energy: -58.2 eV per cell
formation energy from the elements: 0.1421 eV/atom
space-group type: C2/m

a b c (Å): 7.548 7.548 4.993
angles (deg): 97.20 97.20 23.86
Positions (direct):
Hf 0.091 0.091 0.175
Hf 0.218 0.218 0.733
Hf 0.782 0.782 0.267
Hf 0.909 0.909 0.825
Cr 0.444 0.444 0.371
Cr 0.556 0.556 0.629



Entry 7:
The following is a DFT calculation (GGA-PBE) of crystalline HfCr2 at its relaxed geometry.

theoretical density: 10.51 g cm⁻³
total magnetization: 0.0 μB per formula unit
final energy: -118.1 eV per cell
formation energy from the elements: -0.1058 eV/atom
space-group type: P6_3/mmc

a b c (Å): 5.052 5.052 8.080
angles (deg): 90.00 90.00 120.00
Positions (direct):
Hf 0.333 0.667 0.060
Hf 0.333 0.667 0.440
Hf 0.667 0.333 0.560
Hf 0.667 0.333 0.940
Cr 0.000 0.000 0.000
Cr 0.000 0.000 0.500
Cr 0.169 0.337 0.750
Cr 0.169 0.831 0.750
Cr 0.337 0.169 0.250
Cr 0.663 0.831 0.750
Cr 0.831 0.169 0.250
Cr 0.831 0.663 0.250



Entry 8:
The following is a DFT calculation (GGA-PBE) of crystalline Hf2Cr at its relaxed geometry.

theoretical density: 11.92 g cm⁻³
total magnetization: 0.0 μB per formula unit
final energy: -58.1 eV per cell
formation energy from the elements: 0.1676 eV/atom
space-group type: Pm

a b c (Å): 4.679 3.085 7.968
angles (deg): 90.00 97.81 90.00
Positions (direct):
Hf 0.000 0.000 0.000
Hf 0.082 0.000 0.389
Hf 0.456 0.000 0.766
Hf 0.538 0.500 0.166
Cr 0.615 0.500 0.500
Cr 0.954 0.500 0.676



Entry 9:
The following is a DFT calculation (GGA-PBE) of crystalline Hf2Cr at its relaxed geometry.

theoretical density: 12.22 g cm⁻³
total magnetization: 0.0 μB per formula unit
final energy: -58.5 eV per cell
formation energy from the elements: 0.0899 eV/atom
space-group type: C2/m

a b c (Å): 5.478 5.478 5.804
angles (deg): 120.19 120.19 50.09
Positions (direct):
Hf 0.046 0.046 0.293
Hf 0.325 0.325 0.914
Hf 0.675 0.675 0.086
Hf 0.954 0.954 0.707
Cr 0.367 0.367 0.426
Cr 0.633 0.633 0.574



Entry 10:
The following is a DFT calculation (GGA-PBE) of crystalline HfCr at its relaxed geometry.

theoretical density: 7.94 g cm⁻³
total magnetization: 2.8 μB per formula unit
final energy: -33.2 eV per cell
formation energy from the elements: 1.4956 eV/atom
space-group type: P6_3/mmc

a b c (Å): 4.630 4.630 5.195
angles (deg): 90.00 90.00 120.00
Positions (direct):
Hf 0.333 0.667 0.250
Hf 0.667 0.333 0.750
Cr 0.333 0.667 0.750
Cr 0.667 0.333 0.250



Entry 11:
The following is a DFT calculation (GGA-PBE) of crystalline Hf2Cr at its relaxed geometry.

theoretical density: 12.11 g cm⁻³
total magnetization: 0.3 μB per formula unit
final energy: -57.9 eV per cell
formation energy from the elements: 0.1859 eV/atom
space-group type: C2/m

a b c (Å): 5.536 5.536 6.823
angles (deg): 106.11 106.11 34.10
Positions (direct):
Hf 0.000 0.000 0.000
Hf 0.000 0.000 0.500
Hf 0.304 0.304 0.688
Hf 0.696 0.696 0.312
Cr 0.321 0.321 0.125
Cr 0.679 0.679 0.875



Entry 12:
The following is a DFT calculation (GGA-PBE) of crystalline HfCr2 at its relaxed geometry.

theoretical density: 10.61 g cm⁻³
total magnetization: 0.0 μB per formula unit
final energy: -28.9 eV per cell
formation energy from the elements: 0.1035 eV/atom
space-group type: I4/mmm

a b c (Å): 5.280 5.280 5.280
angles (deg): 146.69 146.69 47.82
Positions (direct):
Hf 0.000 0.000 0.000
Cr 0.314 0.314 0.000
Cr 0.686 0.686 0.000